# GGA-PBEsol Zr2ScIn, relaxed
# DOS at the Fermi energy, states/eV per cell: 5.9
# Formation energy from the elements, eV/atom: -0.2610
data_Zr2ScIn
_chemical_formula_sum 'Zr4 Sc2 In2'
_space_group_name_H-M_alt 'I -4 m 2'
_space_group_IT_number 119
_space_group_name_Hall 'I -4 -2'
_cell_length_a 4.3389
_cell_length_b 4.3389
_cell_length_c 9.1485
_cell_angle_alpha 90.00
_cell_angle_beta 90.00
_cell_angle_gamma 90.00
loop_
_atom_site_label
_atom_site_type_symbol
_atom_site_fract_x
_atom_site_fract_y
_atom_site_fract_z
Zr1 Zr 0.0000 0.0000 0.0000
Zr2 Zr 0.0000 0.5000 0.2500
Sc1 Sc 0.0000 0.5000 0.7500
In1 In 0.0000 0.0000 0.5000